Entry from Alexandria: a geometry-optimized AcCrOsO6 structure (PBE with a Hubbard U).

VASP energy: -70.36 eV/f.u.
Volume: 128 Å³ per cell

Lattice parameters (Å, degrees): 5.2483 5.2483 5.3472 90.00 90.00 120.00
Space group P312 (No. 149)
Inequivalent atoms, fractional coordinates:
Ac 0.0000 0.0000 0.0000 (multiplicity 1)
Cr 0.3333 0.6667 0.5000 (multiplicity 1)
Os 0.6667 0.3333 0.5000 (multiplicity 1)
O 0.3805 0.0095 0.7047 (multiplicity 6)